No. 1
Computed, not measured: a relaxed structure of CaHO2F at the PBEsol level of DFT.

Energy ... -3.92 eV/atom

a = 4.722 Å, b = 4.722 Å, c = 4.330 Å
α = 90.00°, β = 90.00°, γ = 90.00°
Element x y z (fractional)
Ca: 0.000 0.000 0.000
H: 0.500 0.500 0.500
O: 0.000 0.500 0.000
O: 0.500 0.000 0.000
F: 0.000 0.000 0.500

No. 2
Computed, not measured: a relaxed structure of NaSrLi2 at the PBEsol level of DFT.

Energy ... -1.71 eV/atom

a = 5.722 Å, b = 5.722 Å, c = 5.722 Å
α = 60.00°, β = 60.00°, γ = 60.00°
Element x y z (fractional)
Na: 0.000 0.000 0.000
Sr: 0.500 0.500 0.500
Li: 0.250 0.250 0.250
Li: 0.750 0.750 0.750

No. 3
Computed, not measured: a relaxed structure of NaLiTl2Cr at the PBEsol level of DFT.

Energy ... -3.34 eV/atom

a = 5.231 Å, b = 5.231 Å, c = 5.108 Å
α = 90.00°, β = 90.00°, γ = 90.00°
Element x y z (fractional)
Na: 0.000 0.000 0.000
Li: 0.500 0.500 0.000
Tl: 0.000 0.500 0.500
Tl: 0.500 0.000 0.500
Cr: 0.500 0.500 0.500

No. 4
Computed, not measured: a relaxed structure of AlInAg2 at the PBEsol level of DFT.

Energy ... -3.44 eV/atom

a = 3.588 Å, b = 3.588 Å, c = 5.621 Å
α = 90.00°, β = 90.00°, γ = 90.00°
Element x y z (fractional)
Al: 0.000 0.000 0.000
In: 0.500 0.500 0.283
Ag: 0.000 0.000 0.525
Ag: 0.500 0.500 0.787

No. 5
Computed, not measured: a relaxed structure of ZnInO2F at the PBEsol level of DFT.

Energy ... -4.32 eV/atom
Uncorrected formation energy ... -919 meV/atom

a = 4.119 Å, b = 4.119 Å, c = 4.076 Å
α = 90.00°, β = 90.00°, γ = 90.00°
Element x y z (fractional)
Zn: 0.000 0.000 0.000
In: 0.500 0.500 0.500
O: 0.000 0.500 0.500
O: 0.500 0.000 0.500
F: 0.500 0.500 0.000

No. 6
Computed, not measured: a relaxed structure of CdCoSe2N at the PBEsol level of DFT.

Energy ... -3.47 eV/atom
Uncorrected formation energy ... 1564 meV/atom

a = 5.182 Å, b = 5.182 Å, c = 4.032 Å
α = 90.00°, β = 90.00°, γ = 90.00°
Element x y z (fractional)
Cd: 0.000 0.000 0.000
Co: 0.500 0.500 0.500
Se: 0.000 0.500 0.000
Se: 0.500 0.000 0.000
N: 0.000 0.000 0.500

No. 7
Computed, not measured: a relaxed structure of Sb2F13 at the PBEsol level of DFT.

Energy ... -4.04 eV/atom
Uncorrected formation energy ... -1762 meV/atom

a = 5.249 Å, b = 6.814 Å, c = 7.575 Å
α = 116.69°, β = 93.32°, γ = 97.33°
Element x y z (fractional)
Sb: 0.182 0.161 0.287
Sb: 0.818 0.839 0.713
F: 0.000 0.000 0.000
F: 0.076 0.416 0.289
F: 0.136 0.923 0.641
F: 0.269 0.880 0.232
F: 0.363 0.311 0.545
F: 0.456 0.467 0.901
F: 0.478 0.206 0.165
F: 0.522 0.794 0.835
F: 0.544 0.533 0.099
F: 0.637 0.689 0.455
F: 0.731 0.120 0.768
F: 0.864 0.077 0.359
F: 0.924 0.584 0.711

No. 8
Computed, not measured: a relaxed structure of CaScZn2 at the PBEsol level of DFT.

Energy ... -3.22 eV/atom

a = 3.375 Å, b = 4.886 Å, c = 4.903 Å
α = 90.00°, β = 90.00°, γ = 90.00°
Element x y z (fractional)
Ca: 0.000 0.000 0.000
Sc: 0.000 0.500 0.514
Zn: 0.500 0.000 0.495
Zn: 0.500 0.500 0.028